(A)
The following is a DFT calculation (PBE) of a relaxed structure of Pr2SmEr8.

Structure (POSCAR):
```
Pr2SmEr8
1.0
6.015 0.000 -2.712
-0.717 6.428 -1.589
0.378 0.758 8.864
Pr Sm Er
2 1 8
Cartesian
4.238 4.825 1.372
1.439 2.361 3.191
0.000 0.000 0.000
4.742 2.721 -1.341
3.806 4.465 4.610
4.889 1.729 2.817
0.787 5.457 1.746
1.871 2.721 -0.047
0.935 4.465 5.904
2.956 5.956 -1.471
2.721 1.230 6.034
```

Results
**Total magnetization**: 0.0 μB/cell

(B)
The following is a DFT calculation (PBE) of a relaxed structure of Pr2SmEr8.

Structure (POSCAR):
```
Pr2SmEr8
1.0
-4.920 1.902 -2.628
-8.070 -0.006 4.084
-2.649 7.380 4.791
Pr Sm Er
2 1 8
Cartesian
-3.497 2.860 3.108
-7.221 4.515 5.767
-2.460 0.951 -1.314
-5.477 3.284 -0.663
-8.769 7.242 2.854
-4.925 0.561 0.976
-9.952 4.023 3.917
-5.686 5.253 2.331
-8.064 1.335 0.481
-6.869 2.035 3.394
-10.160 5.992 6.911
```

Results
**Total magnetization**: 0.0 μB/cell

Which of them is most stable? Easy: (B).

(A)
The following is a DFT calculation (PBE) of a relaxed structure of Pr7SmEr12.

Structure (POSCAR):
```
Pr7SmEr12
1.0
-1.737 -5.120 6.939
8.401 -2.343 1.149
1.609 6.354 5.866
Pr Sm Er
7 1 12
Cartesian
5.080 0.143 11.951
0.209 -1.215 3.776
1.832 1.766 3.050
4.136 -0.554 6.977
6.440 -2.874 10.904
8.064 0.107 10.178
3.193 -1.251 2.004
0.000 0.000 0.000
1.836 -0.366 10.486
1.244 -3.529 6.326
0.857 -0.326 7.360
3.339 -3.185 8.821
1.938 2.983 6.431
3.723 2.027 9.007
4.549 -3.136 4.948
6.335 -4.091 7.523
4.934 2.076 5.134
7.416 -0.782 6.594
7.029 2.421 7.629
6.437 -0.742 3.468
```

Results
**Total magnetization**: 0.0 μB/cell

(B)
The following is a DFT calculation (PBE) of a relaxed structure of Pr7SmEr12.

Structure (POSCAR):
```
Pr7SmEr12
1.0
-0.662 -9.102 -3.512
8.370 0.979 4.960
-7.548 1.749 5.965
Pr Sm Er
7 1 12
Cartesian
3.854 -4.061 0.724
0.411 1.364 5.463
-4.105 -3.676 1.227
0.080 -3.187 3.707
-3.774 0.875 2.983
-0.331 -4.551 -1.756
4.185 0.489 2.480
0.000 0.000 0.000
0.290 -2.529 6.444
4.414 1.165 5.211
-0.130 -3.845 0.970
-4.255 -7.539 2.202
5.994 -5.425 3.799
-1.962 -5.030 4.342
-5.834 -0.949 3.615
2.122 -1.344 3.071
1.992 -5.228 4.087
-1.833 -1.146 3.327
1.580 -6.599 -1.402
-1.420 0.225 8.816
```

Results
**Total magnetization**: 0.0 μB/cell

Which of them is most stable? Easy: (A).

(A)
The following is a DFT calculation (PBE) of a relaxed structure of Pr12SmEr7.

Structure (POSCAR):
```
Pr12SmEr7
1.0
9.473 -0.151 -0.226
-2.779 9.058 -0.226
-2.779 -3.697 8.272
Pr Sm Er
12 1 7
Cartesian
4.754 0.545 4.897
4.714 2.508 1.579
2.896 -0.664 2.338
5.358 4.052 4.522
1.098 -0.556 5.430
2.402 1.757 7.531
1.513 3.453 0.288
2.817 5.765 2.389
-1.443 1.158 3.297
1.020 5.873 5.481
-0.799 2.702 6.241
-0.839 4.664 2.922
0.000 0.000 0.000
-3.666 2.483 8.036
0.511 -3.297 7.337
-3.309 6.935 2.433
1.958 2.605 3.910
7.224 -1.725 5.386
3.404 8.506 0.482
7.581 2.726 -0.216
```

Results
**Total magnetization**: 0.0 μB/cell

(B)
The following is a DFT calculation (PBE) of a relaxed structure of Pr12SmEr7.

Structure (POSCAR):
```
Pr12SmEr7
1.0
-4.221 1.204 -4.475
4.185 -10.114 -3.742
-6.858 -0.314 9.310
Pr Sm Er
12 1 7
Cartesian
0.880 -5.896 -0.954
-3.668 -1.860 4.424
0.257 -5.847 -5.013
-4.195 0.391 1.406
-4.418 -3.748 1.697
-2.015 -6.664 3.305
-4.879 -2.561 -2.212
-2.476 -5.477 -0.603
-2.699 -9.615 -0.313
-7.151 -3.377 6.107
-3.226 -7.364 -3.330
-7.774 -3.329 2.048
0.000 0.000 0.000
2.636 -7.494 -3.380
-5.374 0.974 -1.644
-4.687 -7.117 1.384
-2.110 0.602 -2.238
-2.207 -2.108 -0.290
-1.519 -10.199 2.738
-9.529 -1.731 4.474
```

Results
**Total magnetization**: 0.0 μB/cell

Which of them is most stable? Easy: (A).

(A)
The following is a DFT calculation (PBE) of a relaxed structure of Pr2Sm2Er5.

Structure (POSCAR):
```
Pr2Sm2Er5
1.0
11.856 0.000 0.000
0.000 6.744 0.000
-5.928 -3.372 7.496
Pr Sm Er
4 4 10
Cartesian
-0.043 3.764 1.898
5.970 0.392 5.598
5.970 0.392 1.898
-0.043 3.764 5.598
0.000 0.072 0.000
5.928 3.444 0.000
0.122 0.720 3.748
5.806 4.092 3.748
-2.871 1.388 6.699
8.799 4.760 0.798
-3.057 -1.984 6.699
8.984 1.388 0.798
2.777 -0.737 2.135
3.151 2.634 5.361
3.151 2.634 2.135
2.777 -0.737 5.361
-2.907 2.760 3.748
8.835 -0.612 3.748
```

Results
**Total magnetization**: 0.0 μB/cell

(B)
The following is a DFT calculation (PBE) of a relaxed structure of Pr2Sm2Er5.

Structure (POSCAR):
```
Pr2Sm2Er5
1.0
0.456 1.584 -3.082
2.621 -7.138 -3.282
-12.263 2.330 1.366
Pr Sm Er
2 2 5
Cartesian
-5.345 -2.766 -4.194
-3.841 -0.458 -0.804
1.047 -4.183 -3.978
-10.234 0.959 -1.020
-2.117 -4.114 -4.410
-7.070 0.890 -0.588
-8.023 -0.547 -3.450
-1.163 -2.677 -1.548
0.000 0.000 0.000
```

Results
**Total magnetization**: 0.0 μB/cell

Which of them is most stable? Easy: (A).

(A)
The following is a DFT calculation (PBE) of a relaxed structure of Pr7Sm3Er.

Structure (POSCAR):
```
Pr7Sm3Er
1.0
5.997 -0.190 -0.243
-2.696 8.159 1.121
-2.696 -0.890 8.187
Pr Sm Er
7 3 1
Cartesian
0.131 1.487 1.905
0.184 -0.470 4.834
0.422 2.275 8.350
0.184 4.804 0.716
-2.696 3.634 4.654
0.422 7.549 4.231
0.476 5.591 7.161
-2.696 6.286 2.584
2.999 -0.095 -0.122
-2.696 0.983 6.725
0.303 3.539 4.533
```

Results
**Total magnetization**: 0.0 μB/cell

(B)
The following is a DFT calculation (PBE) of a relaxed structure of Pr7Sm3Er.

Structure (POSCAR):
```
Pr7Sm3Er
1.0
-4.915 7.512 4.536
1.373 -9.895 1.191
11.190 -2.663 5.814
Pr Sm Er
14 6 2
Cartesian
3.517 -8.399 3.412
9.329 -9.585 5.968
5.409 -4.781 3.677
10.960 -6.148 6.498
9.306 -7.255 9.327
3.633 -5.982 6.392
7.116 -2.856 6.425
0.532 -2.190 5.117
-1.658 2.208 2.214
4.015 0.935 5.149
-3.311 1.101 5.043
2.240 -0.265 7.864
-1.681 4.538 5.573
4.131 3.353 8.129
7.544 -6.250 6.416
0.000 0.000 0.000
2.053 -3.715 8.634
1.865 -4.975 3.646
5.784 -0.071 7.896
0.104 1.204 5.125
9.419 -3.855 8.677
3.824 -2.523 5.771
```

Results
**Total magnetization**: 0.0 μB/cell

Which of them is most stable? Easy: (B).

(A)
The following is a DFT calculation (PBE) of a relaxed structure of Pr5Sm2Er12.

Structure (POSCAR):
```
Pr5Sm2Er12
1.0
-11.994 -0.870 2.781
-10.501 -1.056 -6.401
-5.738 -6.426 -0.804
Pr Sm Er
5 2 12
Cartesian
-8.867 -3.112 -1.379
-5.824 -1.149 -0.924
-2.869 -3.213 -0.402
-22.409 -7.203 -3.499
-19.365 -5.240 -3.044
-11.510 -0.931 -0.197
-10.985 -0.996 -3.423
-5.863 -4.808 -0.856
-7.755 -1.090 -4.273
-8.716 -0.971 1.636
-11.462 -4.563 -3.557
-12.028 -4.493 -0.080
-13.786 -2.503 -2.191
-14.447 -5.849 -2.232
-16.771 -3.789 -0.866
-16.205 -3.860 -4.343
-20.478 -7.262 -0.150
-19.517 -7.381 -6.059
-22.370 -3.544 -3.567
```

Results
**Total magnetization**: 0.0 μB/cell

(B)
The following is a DFT calculation (PBE) of a relaxed structure of Pr5Sm2Er12.

Structure (POSCAR):
```
Pr5Sm2Er12
1.0
-1.530 -1.956 -6.625
9.631 -0.904 1.821
2.193 -9.835 2.398
Pr Sm Er
5 2 12
Cartesian
5.132 -8.738 1.396
6.110 -3.286 -0.440
1.097 -4.917 1.199
4.185 -9.409 -1.965
5.162 -3.957 -3.801
-1.105 -1.414 -4.787
-0.424 -0.543 -1.838
8.204 -5.169 -4.145
8.355 -9.325 2.734
7.581 -10.314 -0.614
7.505 -5.893 1.874
6.750 -6.860 -1.399
10.288 -8.497 0.134
0.006 -4.199 -2.539
2.789 -6.802 -4.279
3.545 -5.836 -1.006
1.940 -3.370 -5.140
2.713 -2.381 -1.791
2.090 -7.526 1.740
```

Results
**Total magnetization**: 0.0 μB/cell

Which of them is most stable? Easy: (A).

(A)
The following is a DFT calculation (PBE) of a relaxed structure of Pr5Sm4Er2.

Structure (POSCAR):
```
Pr5Sm4Er2
1.0
-1.214 3.397 0.862
-10.087 0.400 0.179
-3.509 -5.797 9.927
Pr Sm Er
5 4 2
Cartesian
-13.562 -0.907 8.413
-1.248 -1.092 2.555
-11.163 0.551 6.057
-0.607 1.699 0.431
-3.647 -2.550 4.910
-6.746 -2.139 6.914
-7.535 -3.275 10.274
-8.064 0.139 4.054
-7.275 1.275 0.694
-4.730 -0.278 2.418
-10.081 -1.721 8.549
```

Results
**Total magnetization**: 0.0 μB/cell

(B)
The following is a DFT calculation (PBE) of a relaxed structure of Pr5Sm4Er2.

Structure (POSCAR):
```
Pr5Sm4Er2
1.0
3.546 0.000 0.000
0.000 9.405 0.000
-1.773 -4.703 11.785
Pr Sm Er
5 4 2
Cartesian
1.773 -2.775 8.241
1.773 2.775 8.241
0.000 1.928 3.544
0.000 7.477 3.544
1.773 0.000 0.000
0.000 2.858 0.000
1.773 4.703 2.272
0.000 6.547 0.000
0.000 0.000 9.512
0.000 0.000 6.365
1.773 4.703 5.420
```

Results
**Total magnetization**: 0.0 μB/cell

Which of them is most stable? Easy: (A).

(A)
The following is a DFT calculation (PBE) of a relaxed structure of Pr7Sm12Er.

Structure (POSCAR):
```
Pr7Sm12Er
1.0
9.445 0.000 -3.339
-4.722 8.179 -3.339
0.000 0.000 10.018
Pr Sm Er
7 12 1
Cartesian
2.361 4.090 -3.339
-2.361 4.090 3.339
4.722 0.000 3.339
2.361 4.090 1.670
0.000 0.000 5.009
4.722 0.000 -1.670
-2.361 4.090 -1.670
1.242 6.169 3.340
5.881 6.169 -3.397
3.480 2.010 -0.001
-1.159 2.010 6.736
7.124 0.001 -0.058
4.723 4.160 3.338
-2.402 8.178 3.397
-0.001 4.019 0.001
3.561 6.170 0.058
1.161 2.009 3.281
5.964 2.009 6.677
-1.242 6.170 -3.338
0.000 0.000 0.000
```

Results
**Total magnetization**: 0.0 μB/cell

(B)
The following is a DFT calculation (PBE) of a relaxed structure of Pr7Sm12Er.

Structure (POSCAR):
```
Pr7Sm12Er
1.0
-6.797 3.658 4.462
3.399 -2.190 7.946
4.174 7.825 0.918
Pr Sm Er
7 12 1
Cartesian
0.133 8.985 9.423
-1.791 2.468 2.538
1.635 3.059 1.926
0.388 4.646 6.663
-0.859 6.233 11.400
2.567 6.824 10.789
0.643 0.307 3.903
-1.924 8.267 6.481
-3.556 3.273 5.642
-1.658 5.827 4.278
-2.555 5.064 8.224
1.762 6.539 3.055
1.482 7.770 6.102
-0.706 1.522 7.224
-0.986 2.753 10.271
3.331 4.228 5.102
2.434 3.465 9.049
4.332 6.019 7.684
2.699 1.025 6.845
0.000 0.000 0.000
```

Results
**Total magnetization**: 0.0 μB/cell

Which of them is most stable? Easy: (B).

(A)
The following is a DFT calculation (PBE) of a relaxed structure of Pr3Sm2Er3.

Structure (POSCAR):
```
Pr3Sm2Er3
1.0
5.719 0.000 -1.076
-0.377 5.728 -2.005
-1.333 -0.440 8.650
Pr Sm Er
3 2 3
Cartesian
0.765 4.983 4.066
2.671 2.864 -1.540
3.244 0.306 1.503
3.366 3.689 2.156
0.642 1.600 3.413
3.868 1.513 4.823
0.140 3.775 0.746
0.000 0.000 0.000
```

Results
**Total magnetization**: 0.0 μB/cell

(B)
The following is a DFT calculation (PBE) of a relaxed structure of Pr3Sm2Er3.

Structure (POSCAR):
```
Pr3Sm2Er3
1.0
5.085 0.000 0.000
0.000 5.129 0.000
-2.542 -2.565 10.240
Pr Sm Er
3 2 3
Cartesian
0.000 0.000 2.535
0.000 2.565 0.000
2.542 2.565 7.705
2.542 0.000 5.135
0.000 2.565 5.105
2.542 2.565 2.567
0.000 0.000 7.673
2.542 0.000 0.000
```

Results
**Total magnetization**: 0.0 μB/cell

Which of them is most stable? Easy: (B).